Record 1
First-principles (PBE) data for a geometry-optimized LiBPO2 structure, as listed in the Alexandria database.

a b c (Å): 3.0786 3.0786 7.5548
angles (deg): 90.00 90.00 90.00
With the nearest neighbours (Å) after each atom.
Fractional positions:
1 P 0.0000 0.0000 0.5000  4 Li 2.18
2 B 0.0000 0.0000 0.0000  4 O 1.54
3 O 0.0000 0.5000 0.0000  2 B 1.54
4 O 0.5000 0.0000 0.0000  2 B 1.54
5 Li 0.5000 0.5000 0.5000  4 P 2.18

## Properties
N(E_F) = 2.2 states/eV/cell
SG = P4/mmm
energy = -4.97 eV/atom
magnetization = 0.34 μB per formula unit
raw formation energy = -18.2 kJ per mole of atoms



Record 2
First-principles (PBE) data for a geometry-optimized GaBRu2 structure, as listed in the Alexandria database.

a b c (Å): 2.9373 2.9373 6.9404
angles (deg): 77.78 77.78 60.00
With the nearest neighbours (Å) after each atom.
Fractional positions:
1 Ru 0.7687 0.7687 0.6939  3 B 2.14
2 Ru 0.2313 0.2313 0.3061  3 B 2.14
3 B 0.5000 0.5000 0.5000  6 Ru 2.14
4 Ga 0.0000 0.0000 0.0000  6 Ru 2.67, 6 Ga 2.94

## Properties
N(E_F) = 2.4 states/eV/cell
E_form = -0.80 eV/f.u.
SG = R-3m
energy = -7.26 eV/atom
magnetization = 0.00 μB per formula unit



Record 3
First-principles (PBE) data for a geometry-optimized MgTcSnH structure, as listed in the Alexandria database.

a b c (Å): 4.4550 3.1241 4.8236
angles (deg): 90.00 94.32 90.00
With the nearest neighbours (Å) after each atom.
Fractional positions:
1 Mg 0.5172 0.0000 0.3626  2 H 2.09
2 Tc 0.4901 0.5000 0.8502  1 H 1.71
3 Sn 0.9914 0.0000 0.8872  2 H 2.71, 4 Tc 2.72-2.73
4 H 0.2843 0.5000 0.5375  1 Tc 1.71

## Properties
N(E_F) = 2.2 states/eV/cell
SG = Pm
energy = -4.82 eV/atom
magnetization = 0.28 μB per formula unit



Record 4
First-principles (PBE) data for a geometry-optimized Ac2PmDyS6 structure, as listed in the Alexandria database.

a b c (Å): 7.3201 7.3202 7.5551
angles (deg): 61.02 61.02 60.00
With the nearest neighbours (Å) after each atom.
Fractional positions:
1 Ac 0.5287 0.5287 0.4139  6 S 2.98-3.05
2 Ac 0.0277 0.0277 0.9170  6 S 2.97-3.05
3 Pm 0.8140 0.8140 0.5581  6 S 2.77-2.86
4 Dy 0.3157 0.3156 0.0530  6 S 2.72-2.78
5 S 0.5989 0.1862 0.2600  1 Dy 2.72, 1 Pm 2.86, 1 Ac 2.98
6 S 0.1861 0.9549 0.2600  1 Dy 2.72, 1 Pm 2.86, 1 Ac 2.98
7 S 0.9549 0.5989 0.2600  1 Dy 2.72, 1 Pm 2.86, 1 Ac 2.98
8 S 0.4467 0.6815 0.7644  1 Pm 2.77, 1 Dy 2.78, 2 Ac 2.97-3.05
9 S 0.6815 0.1075 0.7644  1 Pm 2.77, 1 Dy 2.78, 2 Ac 2.97-3.05
10 S 0.1075 0.4467 0.7644  1 Pm 2.77, 1 Dy 2.78, 2 Ac 2.97-3.05

## Properties
N(E_F) = 0.0 states/eV/cell
SG = R3
energy = -6.33 eV/atom
magnetization = 0.00 μB per formula unit
raw formation energy = -202.3 kJ per mole of atoms